## NdH2Br (PBE)

Data for NdH2Br after structural relaxation.

Cell: 3.280 3.280 6.072 Å, 90.00 90.00 90.00°
Atoms (fractional coordinates):
Nd 0.000 0.000 0.000
H 0.500 0.500 0.162
H 0.500 0.500 0.838
Br 0.000 0.000 0.500

## Properties
The space-group type is No. 123. For the calculated volume, the calculation gives 16.3 A^3/atom. The value obtained for the distance to the lowest polymorph of the same formula is 0.759 eV/atom. The value obtained for the density of states at the Fermi level is 1.9 states/eV per cell. As for the crystal system: tetragonal.